Entry from the Alexandria database: crystalline Ac2CoSbPt6 at its relaxed geometry (PBE-GGA).

Computed properties:
For the theoretical density, the calculation gives 13.6 g cm⁻³. The calculation puts the volume at 22.03 A^3/atom. Its crystal system is monoclinic. The value obtained for the total magnetic moment is 2.74 μB/cell. For the formation energy (no corrections), the calculation gives -0.705 eV per atom.

a = 12.4847 Å, b = 5.5754 Å, c = 8.6933 Å
α = 90.00°, β = 133.26°, γ = 90.00°
Space group C2/m (No. 12)
Unique sites:
1 Ac 0.2376 0.0000 0.2752 [4 per cell]
2 Co 0.0000 0.5000 0.0000 [2 per cell]
3 Sb 0.0000 0.0000 0.5000 [2 per cell]
4 Pt 0.0068 0.2565 0.7625 [8 per cell]
5 Pt 0.2441 0.5000 0.1023 [4 per cell]